No. 1
Here is a geometry-optimized TlPIrSe2 structure from the Alexandria database. Energies are from GGA-PBE.

Computed properties:
* E_form (uncorrected): 0.4495 eV/atom

Cell lengths 5.152, 5.152, 4.419 Å; angles 90.00, 90.00, 90.00 degrees
Fractional coordinates of all 5 atoms:
Tl 0.000 0.000 0.000
P 0.500 0.500 0.500
Ir 0.500 0.500 0.000
Se 0.000 0.500 0.500
Se 0.500 0.000 0.500

No. 2
Here is a geometry-optimized Pm12Cd2Ge5 structure from the Alexandria database. Energies are from GGA-PBE.

Computed properties:
* formation energy: -0.34 eV/atom

Cell lengths 9.190, 9.190, 9.577 Å; angles 99.24, 99.24, 47.73 degrees
Fractional coordinates of all 19 atoms:
Pm 0.016 0.016 0.304
Pm 0.069 0.570 0.885
Pm 0.105 0.598 0.435
Pm 0.402 0.895 0.565
Pm 0.430 0.931 0.115
Pm 0.472 0.472 0.191
Pm 0.528 0.528 0.809
Pm 0.570 0.069 0.885
Pm 0.598 0.105 0.435
Pm 0.895 0.402 0.565
Pm 0.931 0.430 0.115
Pm 0.984 0.984 0.696
Cd 0.184 0.816 0.000
Cd 0.816 0.184 0.000
Ge 0.166 0.166 0.832
Ge 0.205 0.205 0.361
Ge 0.500 0.500 0.500
Ge 0.795 0.795 0.639
Ge 0.834 0.834 0.168

Number 1: density of states at the Fermi level 5.525 states/eV per cell, electronic total energy -4.27 eV per atom. Number 2: density of states at the Fermi level 21.837 states/eV per cell, electronic total energy -4.66 eV per atom.